A relaxed structure of La4Ga3FeO12, computed with PBE+U.

The structure in CIF format:
```
data_La4Ga3FeO12
_cell_length_a 5.549
_cell_length_b 5.552
_cell_length_c 7.847
_cell_angle_alpha 89.86
_cell_angle_beta 89.99
_cell_angle_gamma 89.96
_space_group_name_H-M_alt 'P -1'
_space_group_IT_number 2
_space_group_name_Hall '-P 1'
loop_
_atom_site_label
_atom_site_type_symbol
_atom_site_fract_x
_atom_site_fract_y
_atom_site_fract_z
La1 La 0.006 0.030 0.248
La2 La 0.493 0.533 0.248
Ga1 Ga 0.000 0.500 0.000
Ga2 Ga 0.000 0.500 0.500
Ga3 Ga 0.500 0.000 0.500
Fe1 Fe 0.500 0.000 0.000
O1 O 0.073 0.512 0.751
O2 O 0.217 0.784 0.461
O3 O 0.220 0.783 0.040
O4 O 0.283 0.283 0.460
O5 O 0.284 0.280 0.041
O6 O 0.424 0.016 0.753
```

Calculated total energy in eV per cell: -145.09